Entry 1:
# GdCu, PBEsol geometry, DFT meta-GGA SCAN
# DOS at the Fermi energy (states/eV per cell): 1.7
# Energy of formation from the pure elements (eV/atom): -0.171
data_GdCu
_chemical_formula_sum 'Gd1 Cu1'
_space_group_name_H-M_alt 'P m -3 m'
_space_group_IT_number 221
_space_group_name_Hall '-P 4 2 3'
_cell_length_a 3.437
_cell_length_b 3.437
_cell_length_c 3.437
_cell_angle_alpha 90.00
_cell_angle_beta 90.00
_cell_angle_gamma 90.00
loop_
_atom_site_label
_atom_site_type_symbol
_atom_site_fract_x
_atom_site_fract_y
_atom_site_fract_z
Gd1 Gd 0.000 0.000 0.000
Cu1 Cu 0.500 0.500 0.500

Entry 2:
# GdCuGe, PBEsol geometry, DFT meta-GGA SCAN
# DOS at the Fermi energy (states/eV per cell): 1.0
# Energy of formation from the pure elements (eV/atom): -0.716
data_GdCuGe
_chemical_formula_sum 'Gd2 Cu2 Ge2'
_space_group_name_H-M_alt 'P 63 m c'
_space_group_IT_number 186
_space_group_name_Hall 'P 6c -2c'
_cell_length_a 4.2180
_cell_length_b 4.2180
_cell_length_c 7.2737
_cell_angle_alpha 90.00
_cell_angle_beta 90.00
_cell_angle_gamma 120.00
loop_
_atom_site_label
_atom_site_type_symbol
_atom_site_fract_x
_atom_site_fract_y
_atom_site_fract_z
Gd1 Gd 0.0000 0.0000 0.0000
Cu1 Cu 0.3333 0.6667 0.2255
Ge1 Ge 0.3333 0.6667 0.7704

Entry 3:
# Gd3CuGeS7, PBEsol geometry, DFT meta-GGA SCAN
# DOS at the Fermi energy (states/eV per cell): 0.0
# Formation energy without anion corrections (eV per atom): -1.622
data_Gd3CuGeS7
_chemical_formula_sum 'Gd6 Cu2 Ge2 S14'
_space_group_name_H-M_alt 'P 63'
_space_group_IT_number 173
_cell_length_a 9.8452
_cell_length_b 9.8452
_cell_length_c 5.6913
_cell_angle_alpha 90.00
_cell_angle_beta 90.00
_cell_angle_gamma 120.00
loop_
_space_group_symop_operation_xyz
'x,y,z'
'x-y,x,z+1/2'
'-y,x-y,z'
'-x,-y,z+1/2'
'-x+y,-x,z'
'y,-x+y,z+1/2'
loop_
_atom_site_label
_atom_site_type_symbol
_atom_site_fract_x
_atom_site_fract_y
_atom_site_fract_z
Gd1 Gd 0.1300 0.3569 0.0000
Cu1 Cu 0.0000 0.0000 0.0333
Ge1 Ge 0.3333 0.6667 0.4181
S1 S 0.0949 0.2571 0.5199
S2 S 0.0974 0.5795 0.2584
S3 S 0.3333 0.6667 0.8013

Entry 4:
# Gd3CuGeSe7, PBEsol geometry, DFT meta-GGA SCAN
# Formation energy without anion corrections (eV per atom): -1.415
data_Gd3CuGeSe7
_chemical_formula_sum 'Gd6 Cu2 Ge2 Se14'
_space_group_name_H-M_alt 'P 63'
_space_group_IT_number 173
_cell_length_a 10.2787
_cell_length_b 10.2787
_cell_length_c 5.9697
_cell_angle_alpha 90.00
_cell_angle_beta 90.00
_cell_angle_gamma 120.00
loop_
_space_group_symop_operation_xyz
'x,y,z'
'x-y,x,z+1/2'
'-y,x-y,z'
'-x,-y,z+1/2'
'-x+y,-x,z'
'y,-x+y,z+1/2'
loop_
_atom_site_label
_atom_site_type_symbol
_atom_site_fract_x
_atom_site_fract_y
_atom_site_fract_z
Gd1 Gd 0.1321 0.3555 0.0000
Cu1 Cu 0.0000 0.0000 0.4652
Ge1 Ge 0.3333 0.6667 0.5835
Se1 Se 0.0920 0.5761 0.7479
Se2 Se 0.0982 0.2605 0.4800
Se3 Se 0.3333 0.6667 0.1931

Entry 5:
# GdInCu4, PBEsol geometry, DFT meta-GGA SCAN
# DOS at the Fermi energy (states/eV per cell): 1.3
# Energy of formation from the pure elements (eV/atom): -0.277
data_GdInCu4
_chemical_formula_sum 'Gd4 In4 Cu16'
_space_group_name_H-M_alt 'F -4 3 m'
_space_group_IT_number 216
_space_group_name_Hall 'F -4 2 3'
_cell_length_a 7.146
_cell_length_b 7.146
_cell_length_c 7.146
_cell_angle_alpha 90.00
_cell_angle_beta 90.00
_cell_angle_gamma 90.00
loop_
_atom_site_label
_atom_site_type_symbol
_atom_site_fract_x
_atom_site_fract_y
_atom_site_fract_z
Gd1 Gd 0.000 0.000 0.000
In1 In 0.250 0.250 0.250
Cu1 Cu 0.124 0.124 0.624

Entry 6:
# KGd2CuMo4O16, PBEsol geometry, DFT meta-GGA SCAN
# Formation energy without anion corrections (eV per atom): -2.480
data_KGd2CuMo4O16
_chemical_formula_sum 'K4 Gd8 Cu4 Mo16 O64'
_space_group_name_H-M_alt 'C 1 2/c 1'
_space_group_IT_number 15
_cell_length_a 5.233
_cell_length_b 12.566
_cell_length_c 19.407
_cell_angle_alpha 90.00
_cell_angle_beta 94.06
_cell_angle_gamma 90.00
loop_
_space_group_symop_operation_xyz
'x,y,z'
'-x,-y,-z'
'-x,y,-z+1/2'
'x,-y,z+1/2'
'x+1/2,y+1/2,z'
'-x+1/2,-y+1/2,-z'
'-x+1/2,y+1/2,-z+1/2'
'x+1/2,-y+1/2,z+1/2'
loop_
_atom_site_label
_atom_site_type_symbol
_atom_site_fract_x
_atom_site_fract_y
_atom_site_fract_z
K1 K 0.000 0.033 0.250
Gd1 Gd 0.000 0.146 0.032
Cu1 Cu 0.000 0.313 0.250
Mo1 Mo 0.012 0.254 0.647
Mo2 Mo 0.022 0.438 0.093
O1 O 0.103 0.411 0.327
O2 O 0.126 0.134 0.830
O3 O 0.161 0.332 0.042
O4 O 0.181 0.238 0.568
O5 O 0.226 0.451 0.602
O6 O 0.232 0.291 0.715
O7 O 0.244 0.019 0.539
O8 O 0.244 0.347 0.867

Entry 7:
# KGd2CuS4, PBEsol geometry, DFT meta-GGA SCAN
# Formation energy without anion corrections (eV per atom): -1.863
data_KGd2CuS4
_chemical_formula_sum 'K4 Gd8 Cu4 S16'
_space_group_name_H-M_alt 'C m c m'
_space_group_IT_number 63
_space_group_name_Hall '-C 2c 2'
_cell_length_a 3.931
_cell_length_b 13.452
_cell_length_c 13.563
_cell_angle_alpha 90.00
_cell_angle_beta 90.00
_cell_angle_gamma 90.00
loop_
_atom_site_label
_atom_site_type_symbol
_atom_site_fract_x
_atom_site_fract_y
_atom_site_fract_z
K1 K 0.000 0.108 0.250
Gd1 Gd 0.000 0.366 0.062
Cu1 Cu 0.000 0.162 0.750
S1 S 0.000 0.000 0.000
S2 S 0.000 0.263 0.613
S3 S 0.000 0.431 0.250

Entry 8:
# KGd2CuSe4, PBEsol geometry, DFT meta-GGA SCAN
# Formation energy without anion corrections (eV per atom): -1.684
data_KGd2CuSe4
_chemical_formula_sum 'K4 Gd8 Cu4 Se16'
_space_group_name_H-M_alt 'C m c m'
_space_group_IT_number 63
_space_group_name_Hall '-C 2c 2'
_cell_length_a 4.082
_cell_length_b 13.964
_cell_length_c 14.160
_cell_angle_alpha 90.00
_cell_angle_beta 90.00
_cell_angle_gamma 90.00
loop_
_atom_site_label
_atom_site_type_symbol
_atom_site_fract_x
_atom_site_fract_y
_atom_site_fract_z
K1 K 0.000 0.111 0.250
Gd1 Gd 0.000 0.365 0.064
Cu1 Cu 0.000 0.160 0.750
Se1 Se 0.000 0.000 0.000
Se2 Se 0.000 0.266 0.614
Se3 Se 0.000 0.436 0.250

Entry 9:
# PmGdCu2, PBEsol geometry, DFT meta-GGA SCAN
# DOS at the Fermi energy (states/eV per cell): 9.3
# Energy of formation from the pure elements (eV/atom): -0.190
data_PmGdCu2
_chemical_formula_sum 'Pm4 Gd4 Cu8'
_space_group_name_H-M_alt 'F m -3 m'
_space_group_IT_number 225
_space_group_name_Hall '-F 4 2 3'
_cell_length_a 6.939
_cell_length_b 6.939
_cell_length_c 6.939
_cell_angle_alpha 90.00
_cell_angle_beta 90.00
_cell_angle_gamma 90.00
loop_
_atom_site_label
_atom_site_type_symbol
_atom_site_fract_x
_atom_site_fract_y
_atom_site_fract_z
Pm1 Pm 0.000 0.000 0.000
Gd1 Gd 0.000 0.000 0.500
Cu1 Cu 0.250 0.250 0.250

Entry 10:
# Gd3CuSiS7, PBEsol geometry, DFT meta-GGA SCAN
# DOS at the Fermi energy (states/eV per cell): 0.0
# Formation energy without anion corrections (eV per atom): -1.726
data_Gd3CuSiS7
_chemical_formula_sum 'Gd6 Cu2 Si2 S14'
_space_group_name_H-M_alt 'P 63'
_space_group_IT_number 173
_cell_length_a 9.8444
_cell_length_b 9.8444
_cell_length_c 5.6248
_cell_angle_alpha 90.00
_cell_angle_beta 90.00
_cell_angle_gamma 120.00
loop_
_space_group_symop_operation_xyz
'x,y,z'
'x-y,x,z+1/2'
'-y,x-y,z'
'-x,-y,z+1/2'
'-x+y,-x,z'
'y,-x+y,z+1/2'
loop_
_atom_site_label
_atom_site_type_symbol
_atom_site_fract_x
_atom_site_fract_y
_atom_site_fract_z
Gd1 Gd 0.1271 0.3571 0.0000
Cu1 Cu 0.0000 0.0000 0.4680
Si1 Si 0.3333 0.6667 0.5864
S1 S 0.0915 0.2563 0.4832
S2 S 0.1054 0.5839 0.7349
S3 S 0.3333 0.6667 0.2130

Entry 11:
# SrGdCuS3, PBEsol geometry, DFT meta-GGA SCAN
# Formation energy without anion corrections (eV per atom): -1.897
data_SrGdCuS3
_chemical_formula_sum 'Sr4 Gd4 Cu4 S12'
_space_group_name_H-M_alt 'P n m a'
_space_group_IT_number 62
_cell_length_a 10.239
_cell_length_b 3.904
_cell_length_c 12.781
_cell_angle_alpha 90.00
_cell_angle_beta 90.00
_cell_angle_gamma 90.00
loop_
_space_group_symop_operation_xyz
'x,y,z'
'-x,-y,-z'
'-x+1/2,-y,z+1/2'
'x+1/2,y,-z+1/2'
'x+1/2,-y+1/2,-z+1/2'
'-x+1/2,y+1/2,z+1/2'
'-x,y+1/2,-z'
'x,-y+1/2,z'
loop_
_atom_site_label
_atom_site_type_symbol
_atom_site_fract_x
_atom_site_fract_y
_atom_site_fract_z
Sr1 Sr 0.220 0.250 0.002
Gd1 Gd 0.018 0.750 0.261
Cu1 Cu 0.233 0.750 0.776
S1 S 0.050 0.750 0.882
S2 S 0.097 0.250 0.394
S3 S 0.238 0.250 0.674

Entry 12:
# GdCuSb2, PBEsol geometry, DFT meta-GGA SCAN
# DOS at the Fermi energy (states/eV per cell): 2.5
# Formation energy without anion corrections (eV per atom): -0.681
data_GdCuSb2
_chemical_formula_sum 'Gd2 Cu2 Sb4'
_space_group_name_H-M_alt 'P 4/n m m'
_space_group_IT_number 129
_cell_length_a 4.272
_cell_length_b 4.272
_cell_length_c 9.699
_cell_angle_alpha 90.00
_cell_angle_beta 90.00
_cell_angle_gamma 90.00
loop_
_space_group_symop_operation_xyz
'x,y,z'
'-x,-y,-z'
'-y+1/2,x,z'
'y+1/2,-x,-z'
'-x+1/2,-y+1/2,z'
'x+1/2,y+1/2,-z'
'y,-x+1/2,z'
'-y,x+1/2,-z'
'x+1/2,-y,-z'
'-x+1/2,y,z'
'-y,-x,-z'
'y,x,z'
'-x,y+1/2,-z'
'x,-y+1/2,z'
'y+1/2,x+1/2,-z'
'-y+1/2,-x+1/2,z'
loop_
_atom_site_label
_atom_site_type_symbol
_atom_site_fract_x
_atom_site_fract_y
_atom_site_fract_z
Gd1 Gd 0.250 0.250 0.248
Cu1 Cu 0.250 0.750 0.000
Sb1 Sb 0.250 0.250 0.841
Sb2 Sb 0.250 0.750 0.500

Entry 13:
# Gd3Cu3Sb4, PBEsol geometry, DFT meta-GGA SCAN
# DOS at the Fermi energy (states/eV per cell): 4.0
# Formation energy without anion corrections (eV per atom): -0.797
data_Gd3Cu3Sb4
_chemical_formula_sum 'Gd12 Cu12 Sb16'
_space_group_name_H-M_alt 'I -4 3 d'
_space_group_IT_number 220
_space_group_name_Hall 'I -4bd 2c 3'
_cell_length_a 9.477
_cell_length_b 9.477
_cell_length_c 9.477
_cell_angle_alpha 90.00
_cell_angle_beta 90.00
_cell_angle_gamma 90.00
loop_
_atom_site_label
_atom_site_type_symbol
_atom_site_fract_x
_atom_site_fract_y
_atom_site_fract_z
Gd1 Gd 0.000 0.250 0.375
Cu1 Cu 0.000 0.250 0.875
Sb1 Sb 0.081 0.081 0.081

Entry 14:
# Gd3CuSiSe7, PBEsol geometry, DFT meta-GGA SCAN
# Formation energy without anion corrections (eV per atom): -1.473
data_Gd3CuSiSe7
_chemical_formula_sum 'Gd6 Cu2 Si2 Se14'
_space_group_name_H-M_alt 'P 63'
_space_group_IT_number 173
_cell_length_a 10.2783
_cell_length_b 10.2783
_cell_length_c 5.9088
_cell_angle_alpha 90.00
_cell_angle_beta 90.00
_cell_angle_gamma 120.00
loop_
_space_group_symop_operation_xyz
'x,y,z'
'x-y,x,z+1/2'
'-y,x-y,z'
'-x,-y,z+1/2'
'-x+y,-x,z'
'y,-x+y,z+1/2'
loop_
_atom_site_label
_atom_site_type_symbol
_atom_site_fract_x
_atom_site_fract_y
_atom_site_fract_z
Gd1 Gd 0.1294 0.3555 0.0000
Cu1 Cu 0.0000 0.0000 0.4688
Si1 Si 0.3333 0.6667 0.5880
Se1 Se 0.0952 0.2598 0.4829
Se2 Se 0.0993 0.5800 0.7416
Se3 Se 0.3333 0.6667 0.2069

Entry 15:
# SrGdCuSe3, PBEsol geometry, DFT meta-GGA SCAN
# Formation energy without anion corrections (eV per atom): -1.726
data_SrGdCuSe3
_chemical_formula_sum 'Sr4 Gd4 Cu4 Se12'
_space_group_name_H-M_alt 'P n m a'
_space_group_IT_number 62
_cell_length_a 10.592
_cell_length_b 4.053
_cell_length_c 13.349
_cell_angle_alpha 90.00
_cell_angle_beta 90.00
_cell_angle_gamma 90.00
loop_
_space_group_symop_operation_xyz
'x,y,z'
'-x,-y,-z'
'-x+1/2,-y,z+1/2'
'x+1/2,y,-z+1/2'
'x+1/2,-y+1/2,-z+1/2'
'-x+1/2,y+1/2,z+1/2'
'-x,y+1/2,-z'
'x,-y+1/2,z'
loop_
_atom_site_label
_atom_site_type_symbol
_atom_site_fract_x
_atom_site_fract_y
_atom_site_fract_z
Sr1 Sr 0.228 0.250 0.000
Gd1 Gd 0.015 0.750 0.256
Cu1 Cu 0.238 0.750 0.778
Se1 Se 0.053 0.750 0.887
Se2 Se 0.087 0.250 0.395
Se3 Se 0.238 0.250 0.672

Entry 16:
# GdCuSi, PBEsol geometry, DFT meta-GGA SCAN
# DOS at the Fermi energy (states/eV per cell): 2.0
# Formation energy without anion corrections (eV per atom): -0.649
data_GdCuSi
_chemical_formula_sum 'Gd2 Cu2 Si2'
_space_group_name_H-M_alt 'P 63/m m c'
_space_group_IT_number 194
_space_group_name_Hall '-P 6c 2c'
_cell_length_a 4.1111
_cell_length_b 4.1111
_cell_length_c 7.5332
_cell_angle_alpha 90.00
_cell_angle_beta 90.00
_cell_angle_gamma 120.00
loop_
_atom_site_label
_atom_site_type_symbol
_atom_site_fract_x
_atom_site_fract_y
_atom_site_fract_z
Gd1 Gd 0.0000 0.0000 0.0000
Cu1 Cu 0.3333 0.6667 0.2500
Si1 Si 0.3333 0.6667 0.7500

Entry 17:
# GdCuSi, PBEsol geometry, DFT meta-GGA SCAN
# DOS at the Fermi energy (states/eV per cell): 1.7
# Formation energy without anion corrections (eV per atom): -0.640
data_GdCuSi
_chemical_formula_sum 'Gd1 Cu1 Si1'
_space_group_name_H-M_alt 'P -6 m 2'
_space_group_IT_number 187
_space_group_name_Hall 'P -6 2'
_cell_length_a 4.0480
_cell_length_b 4.0480
_cell_length_c 3.9143
_cell_angle_alpha 90.00
_cell_angle_beta 90.00
_cell_angle_gamma 120.00
loop_
_atom_site_label
_atom_site_type_symbol
_atom_site_fract_x
_atom_site_fract_y
_atom_site_fract_z
Gd1 Gd 0.0000 0.0000 0.0000
Cu1 Cu 0.6667 0.3333 0.5000
Si1 Si 0.3333 0.6667 0.5000

Entry 18:
# GdYCu2, PBEsol geometry, DFT meta-GGA SCAN
# DOS at the Fermi energy (states/eV per cell): 9.2
# Energy of formation from the pure elements (eV/atom): -0.237
data_GdYCu2
_chemical_formula_sum 'Gd4 Y4 Cu8'
_space_group_name_H-M_alt 'F m -3 m'
_space_group_IT_number 225
_space_group_name_Hall '-F 4 2 3'
_cell_length_a 6.861
_cell_length_b 6.861
_cell_length_c 6.861
_cell_angle_alpha 90.00
_cell_angle_beta 90.00
_cell_angle_gamma 90.00
loop_
_atom_site_label
_atom_site_type_symbol
_atom_site_fract_x
_atom_site_fract_y
_atom_site_fract_z
Gd1 Gd 0.000 0.000 0.000
Y1 Y 0.000 0.000 0.500
Cu1 Cu 0.250 0.250 0.250

Quick rundown of M_tot, same order as above: 3.705, 2.356, 1.748, 1.748, 1.171, 0.585, 1.747, 1.748, 1.833, 1.747, 1.165, 1.751, 2.100, 1.748, 1.165, 2.372, 2.508, 1.827 μB/atom